This record from Alexandria via LeMat-Bulk describes crystalline KCoB2Mo at its relaxed geometry. The functional is PBE.

```
KCoB2Mo
1.0
3.9764 0.0000 0.0000
0.0000 4.9529 0.0000
0.0000 0.0000 3.9764
Mo Co B K
1 1 2 1
Cartesian
1.9882 2.4765 1.9882 Mo
0.0000 0.0000 0.0000 Co
0.0000 0.0000 1.9882 B
1.9882 0.0000 0.0000 B
0.0000 2.4765 0.0000 K
```

Values from the calculation:
As for the total energy: -4.64 eV per atom. As for the crystal system: tetragonal. Its formation energy is 177.49 kJ per mole of atoms. For the density of states at the Fermi level, the calculation gives 3.58 states/eV/f.u.